No. 1
Here is RbCa2Cd after structural relaxation from the Alexandria database. Energies are from GGA-PBE.

Values from the calculation:
**ΔH_f (0 K)**: 18 kJ/mol of formula units

```
RbCa2Cd
1.0
-1.622 1.811 3.329
1.742 -0.543 3.697
7.305 10.502 0.397
Ca Rb Cd
2 1 1
Direct
0.109 0.109 0.672 Ca
0.891 0.891 0.328 Ca
0.000 0.000 0.000 Rb
0.500 0.500 0.500 Cd
```


No. 2
Here is RbCaCd2 after structural relaxation from the Alexandria database. Energies are from GGA-PBE.

Values from the calculation:
**Distance to the lowest polymorph of the same formula**: 115 meV/atom
**ΔH_f (0 K)**: -1 kJ/mol of formula units

```
RbCaCd2
1.0
1.337 -4.579 3.373
-3.580 -1.576 4.339
-3.096 -4.936 -0.415
Ca Rb Cd
1 1 2
Direct
0.000 0.000 0.000 Ca
0.500 0.500 0.500 Rb
0.250 0.250 0.250 Cd
0.750 0.750 0.750 Cd
```


No. 3
Here is RbCaCd10 after structural relaxation from the Alexandria database. Energies are from GGA-PBE.

Values from the calculation:
**ΔH_f (0 K)**: -109 kJ/mol of formula units

```
RbCaCd10
1.0
4.880 0.000 0.000
0.000 6.163 0.000
0.000 0.000 10.640
Rb Ca Cd
1 1 10
Direct
0.000 0.500 0.500 Rb
0.000 0.000 0.000 Ca
0.000 0.000 0.325 Cd
0.000 0.500 0.840 Cd
0.000 0.500 0.160 Cd
0.000 0.000 0.675 Cd
0.500 0.000 0.500 Cd
0.500 0.500 0.000 Cd
0.500 0.240 0.234 Cd
0.500 0.760 0.766 Cd
0.500 0.760 0.234 Cd
0.500 0.240 0.766 Cd
```


No. 4
Here is RbCaCd2 after structural relaxation from the Alexandria database. Energies are from GGA-PBE.

Values from the calculation:
**Distance to the lowest polymorph of the same formula**: 249 meV/atom
**ΔH_f (0 K)**: 51 kJ/mol of formula units

```
RbCaCd2
1.0
-5.893 -2.237 -6.652
4.946 -7.487 -1.864
-2.544 -6.853 -1.754
Ca Rb Cd
2 2 4
Direct
0.500 0.500 0.000 Ca
0.250 0.750 0.500 Ca
0.000 0.000 0.000 Rb
0.750 0.250 0.500 Rb
0.594 0.125 0.250 Cd
0.156 0.625 0.250 Cd
0.375 0.406 0.750 Cd
0.875 0.844 0.750 Cd
```


No. 5
Here is RbCaCd17 after structural relaxation from the Alexandria database. Energies are from GGA-PBE.

Values from the calculation:
**ΔH_f (0 K)**: -152 kJ/mol of formula units

```
RbCaCd17
1.0
-7.661 0.759 -1.429
-2.589 -3.115 6.701
-1.089 6.714 3.879
Rb Ca Cd
1 1 17
Direct
0.661 0.661 0.661 Rb
0.333 0.333 0.333 Ca
0.295 0.003 0.702 Cd
0.702 0.295 0.003 Cd
0.003 0.702 0.295 Cd
0.295 0.702 0.003 Cd
0.003 0.295 0.702 Cd
0.702 0.003 0.295 Cd
0.349 0.862 0.349 Cd
0.349 0.349 0.862 Cd
0.862 0.349 0.349 Cd
0.633 0.177 0.633 Cd
0.633 0.633 0.177 Cd
0.177 0.633 0.633 Cd
0.989 0.512 0.989 Cd
0.989 0.989 0.512 Cd
0.512 0.989 0.989 Cd
0.906 0.906 0.906 Cd
0.107 0.107 0.107 Cd
```


No. 6
Here is RbCa2Cd2 after structural relaxation from the Alexandria database. Energies are from GGA-PBE.

Values from the calculation:
**Distance to the lowest polymorph of the same formula**: 0 meV/atom
**ΔH_f (0 K)**: -56 kJ/mol of formula units

```
RbCa2Cd2
1.0
9.623 0.000 0.000
0.000 9.623 0.000
0.000 0.000 3.890
Ca Rb Cd
4 2 4
Direct
0.140 0.640 0.500 Ca
0.640 0.860 0.500 Ca
0.860 0.360 0.500 Ca
0.360 0.140 0.500 Ca
0.000 0.000 0.000 Rb
0.500 0.500 0.000 Rb
0.353 0.853 0.000 Cd
0.853 0.647 0.000 Cd
0.647 0.147 0.000 Cd
0.147 0.353 0.000 Cd
```


No. 7
Here is RbCa2Cd2 after structural relaxation from the Alexandria database. Energies are from GGA-PBE.

Values from the calculation:
**Distance to the lowest polymorph of the same formula**: 161 meV/atom
**ΔH_f (0 K)**: 22 kJ/mol of formula units

```
RbCa2Cd2
1.0
5.959 0.000 0.000
0.000 5.959 0.000
2.980 2.980 6.085
Ca Rb Cd
2 1 2
Direct
0.342 0.342 0.317 Ca
0.658 0.658 0.683 Ca
0.000 0.000 0.000 Rb
0.750 0.250 0.500 Cd
0.250 0.750 0.500 Cd
```


No. 8
Here is RbCa2Cd2 after structural relaxation from the Alexandria database. Energies are from GGA-PBE.

Values from the calculation:
**Distance to the lowest polymorph of the same formula**: 46 meV/atom
**ΔH_f (0 K)**: -34 kJ/mol of formula units

```
RbCa2Cd2
1.0
-2.228 -3.027 -3.782
-3.389 -2.001 3.598
-7.328 2.588 -1.512
Ca Rb Cd
2 1 2
Direct
0.750 0.250 0.500 Ca
0.250 0.750 0.500 Ca
0.000 0.000 0.000 Rb
0.394 0.394 0.212 Cd
0.606 0.606 0.788 Cd
```


Which density belongs to each record? In order, 2.49; 4.13; 6.48; 3.64; 7.21; 3.60; 3.00; 3.28 Mg/m³.
Which Fermi-level density of states belongs to each record? In order, 0.88; 1.01; 0.54; 0.85; 0.29; 0.57; 1.01; 0.62 states/eV/atom.